[1]
# ZnPbO3 PBE relaxed
# energy	-4.5651	eV/atom
# total magnetic moment	1.08	μB per cell
# calculated density	8.84	g cm⁻³
data_ZnPbO3
_cell_length_a 3.9205
_cell_length_b 3.9205
_cell_length_c 3.9205
_cell_angle_alpha 90.00
_cell_angle_beta 90.00
_cell_angle_gamma 90.00
_space_group_name_H-M_alt 'P m -3 m'
_space_group_IT_number 221
_space_group_name_Hall '-P 4 2 3'
loop_
_atom_site_label
_atom_site_type_symbol
_atom_site_fract_x
_atom_site_fract_y
_atom_site_fract_z
_atom_site_occupancy
Zn1 Zn 0.0000 0.0000 0.0000 1
Pb1 Pb 0.5000 0.5000 0.5000 1
O1 O 0.0000 0.0000 0.5000 1

***

[2]
# Zn3PbO3 PBE relaxed
# energy	-4.0733	eV/atom
# total magnetic moment	0.00	μB per cell
# calculated density	7.39	g cm⁻³
data_Zn3PbO3
_cell_length_a 5.8755
_cell_length_b 5.8755
_cell_length_c 5.8755
_cell_angle_alpha 90.00
_cell_angle_beta 90.00
_cell_angle_gamma 90.00
_space_group_name_H-M_alt 'P m -3 n'
_space_group_IT_number 223
_space_group_name_Hall '-P 4n 2 3'
loop_
_atom_site_label
_atom_site_type_symbol
_atom_site_fract_x
_atom_site_fract_y
_atom_site_fract_z
_atom_site_occupancy
Zn1 Zn 0.0000 0.2500 0.5000 1
Pb1 Pb 0.0000 0.0000 0.0000 1
O1 O 0.0000 0.5000 0.2500 1

***

[3]
# ZnPbO3 PBE relaxed
# energy	-5.0236	eV/atom
# total magnetic moment	0.00	μB per cell
# calculated density	8.31	g cm⁻³
data_ZnPbO3
_cell_length_a 5.5128
_cell_length_b 5.5128
_cell_length_c 14.6054
_cell_angle_alpha 90.00
_cell_angle_beta 90.00
_cell_angle_gamma 120.00
_space_group_name_H-M_alt 'R 3 c'
_space_group_IT_number 161
_space_group_name_Hall 'R 3 -2"c'
loop_
_atom_site_label
_atom_site_type_symbol
_atom_site_fract_x
_atom_site_fract_y
_atom_site_fract_z
_atom_site_occupancy
Zn1 Zn 0.0000 0.0000 0.0000 1
Pb1 Pb 0.0000 0.0000 0.2174 1
O1 O 0.0164 0.3069 0.1091 1

***

[4]
# ZnPb2O PBE relaxed
# total magnetic moment	0.00	μB per cell
# calculated density	10.04	g cm⁻³
# energy above the most stable polymorph in this dataset	0.2774	eV per atom
data_ZnPb2O
_cell_length_a 6.8965
_cell_length_b 6.8965
_cell_length_c 6.8965
_cell_angle_alpha 90.00
_cell_angle_beta 90.00
_cell_angle_gamma 90.00
_space_group_name_H-M_alt 'F m -3 m'
_space_group_IT_number 225
_space_group_name_Hall '-F 4 2 3'
loop_
_atom_site_label
_atom_site_type_symbol
_atom_site_fract_x
_atom_site_fract_y
_atom_site_fract_z
_atom_site_occupancy
Zn1 Zn 0.0000 0.0000 0.0000 1
Pb1 Pb 0.2500 0.2500 0.2500 1
O1 O 0.0000 0.0000 0.5000 1

***

[5]
# Zn6PbO6 PBE relaxed
# energy	-4.2369	eV/atom
# total magnetic moment	0.00	μB per cell
# calculated density	5.97	g cm⁻³
data_Zn6PbO6
_cell_length_a 5.7847
_cell_length_b 5.7847
_cell_length_c 5.7847
_cell_angle_alpha 90.00
_cell_angle_beta 90.00
_cell_angle_gamma 90.00
_space_group_name_H-M_alt 'P m -3'
_space_group_IT_number 200
_space_group_name_Hall '-P 2 2 3'
loop_
_atom_site_label
_atom_site_type_symbol
_atom_site_fract_x
_atom_site_fract_y
_atom_site_fract_z
_atom_site_occupancy
Zn1 Zn 0.0000 0.2542 0.5000 1
Pb1 Pb 0.0000 0.0000 0.0000 1
O1 O 0.0000 0.5000 0.2487 1

***

[6]
# ZnPb2O PBE relaxed
# total magnetic moment	0.00	μB per cell
# calculated density	7.72	g cm⁻³
# energy above the most stable polymorph in this dataset	0.0000	eV per atom
data_ZnPb2O
_cell_length_a 6.0944
_cell_length_b 6.0944
_cell_length_c 11.4863
_cell_angle_alpha 90.00
_cell_angle_beta 90.00
_cell_angle_gamma 90.00
_space_group_name_H-M_alt 'I -4 2 d'
_space_group_IT_number 122
_space_group_name_Hall 'I -4 2bw'
loop_
_atom_site_label
_atom_site_type_symbol
_atom_site_fract_x
_atom_site_fract_y
_atom_site_fract_z
_atom_site_occupancy
Zn1 Zn 0.0000 0.0000 0.0000 1
Pb1 Pb 0.1923 0.2500 0.6250 1
O1 O 0.0000 0.0000 0.5000 1

***

[7]
# ZnPbO3 PBE relaxed
# energy	-5.0216	eV/atom
# total magnetic moment	0.00	μB per cell
# calculated density	7.00	g cm⁻³
data_ZnPbO3
_cell_length_a 5.5520
_cell_length_b 3.4344
_cell_length_c 8.2714
_cell_angle_alpha 90.00
_cell_angle_beta 105.37
_cell_angle_gamma 90.00
_space_group_name_H-M_alt 'P 1 21/m 1'
_space_group_IT_number 11
_space_group_name_Hall '-P 2yb'
loop_
_atom_site_label
_atom_site_type_symbol
_atom_site_fract_x
_atom_site_fract_y
_atom_site_fract_z
_atom_site_occupancy
Zn1 Zn 0.0291 0.2500 0.3513 1
Pb1 Pb 0.4949 0.2500 0.8172 1
O1 O 0.1422 0.2500 0.6212 1
O2 O 0.2969 0.7500 0.9117 1
O3 O 0.3274 0.2500 0.2714 1

***

[8]
# ZnPbO2 PBE relaxed
# total magnetic moment	0.00	μB per cell
# calculated density	6.62	g cm⁻³
# energy above the most stable polymorph in this dataset	0.2376	eV per atom
data_ZnPbO2
_cell_length_a 3.7782
_cell_length_b 3.7782
_cell_length_c 18.5319
_cell_angle_alpha 90.00
_cell_angle_beta 90.00
_cell_angle_gamma 120.00
_space_group_name_H-M_alt 'R -3 m'
_space_group_IT_number 166
_space_group_name_Hall '-R 3 2"'
loop_
_atom_site_label
_atom_site_type_symbol
_atom_site_fract_x
_atom_site_fract_y
_atom_site_fract_z
_atom_site_occupancy
Zn1 Zn 0.0000 0.0000 0.0000 1
Pb1 Pb 0.0000 0.0000 0.5000 1
O1 O 0.0000 0.0000 0.0954 1